Compound: RbCuSnRh2
Source: Alexandria
Functional: PBE-GGA
Structure: optimized geometry

Cell: 4.966 4.966 6.233 Å, 90.00 90.00 90.00°
Element x y z (fractional)
Rb: 0.000 0.000 0.000
Cu: 0.500 0.500 0.000
Sn: 0.000 0.000 0.500
Rh: 0.000 0.500 0.500
Rh: 0.500 0.000 0.500

Total magnetic moment (μB per atom): 0.02

Compound: RbSrCuRh2
Source: Alexandria
Functional: PBE-GGA
Structure: optimized geometry

Cell: 5.031 5.031 5.239 Å, 90.00 90.00 90.00°
Element x y z (fractional)
Rb: 0.000 0.000 0.000
Sr: 0.500 0.500 0.500
Cu: 0.000 0.000 0.500
Rh: 0.000 0.500 0.000
Rh: 0.500 0.000 0.000

Total magnetic moment (μB per atom): 0.00

Compound: RbCuRu3
Source: Alexandria
Functional: PBE-GGA
Structure: optimized geometry

Cell: 4.670 4.670 4.670 Å, 90.00 90.00 90.00°
Element x y z (fractional)
Rb: 0.000 0.000 0.000
Cu: 0.500 0.500 0.500
Ru: 0.000 0.000 0.500
Ru: 0.000 0.500 0.000
Ru: 0.500 0.000 0.000

Excess energy over the best structure of this formula in the dataset (meV/atom): 1413
Total magnetic moment (μB per atom): 0.00

Compound: RbCu3Ru
Source: Alexandria
Functional: PBE-GGA
Structure: optimized geometry

Cell: 4.869 4.869 4.869 Å, 90.00 90.00 90.00°
Element x y z (fractional)
Rb: 0.000 0.000 0.000
Cu: 0.000 0.000 0.500
Cu: 0.000 0.500 0.000
Cu: 0.500 0.000 0.000
Ru: 0.500 0.500 0.500

Excess energy over the best structure of this formula in the dataset (meV/atom): 1523
Total magnetic moment (μB per atom): 0.27

Compound: RbCuRu3
Source: Alexandria
Functional: PBE-GGA
Structure: optimized geometry

Cell: 4.770 4.770 4.770 Å, 90.00 90.00 90.00°
Element x y z (fractional)
Rb: 0.000 0.000 0.000
Cu: 0.500 0.500 0.500
Ru: 0.000 0.500 0.500
Ru: 0.500 0.000 0.500
Ru: 0.500 0.500 0.000

Excess energy over the best structure of this formula in the dataset (meV/atom): 0
Total magnetic moment (μB per atom): 1.22

Compound: RbCu2Ru
Source: Alexandria
Functional: PBE-GGA
Structure: optimized geometry

Cell: 6.740 6.740 6.740 Å, 90.00 90.00 90.00°
Element x y z (fractional)
Rb: 0.000 0.000 0.000
Rb: 0.000 0.500 0.500
Rb: 0.500 0.000 0.500
Rb: 0.500 0.500 0.000
Cu: 0.250 0.250 0.250
Cu: 0.250 0.250 0.750
Cu: 0.250 0.750 0.250
Cu: 0.250 0.750 0.750
Cu: 0.750 0.250 0.250
Cu: 0.750 0.250 0.750
Cu: 0.750 0.750 0.250
Cu: 0.750 0.750 0.750
Ru: 0.000 0.000 0.500
Ru: 0.000 0.500 0.000
Ru: 0.500 0.000 0.000
Ru: 0.500 0.500 0.500

Excess energy over the best structure of this formula in the dataset (meV/atom): 319
Total magnetic moment (μB per atom): 0.32

Compound: RbCu3Ru
Source: Alexandria
Functional: PBE-GGA
Structure: optimized geometry

Cell: 4.870 4.870 4.870 Å, 90.00 90.00 90.00°
Element x y z (fractional)
Rb: 0.000 0.000 0.000
Cu: 0.000 0.500 0.500
Cu: 0.500 0.000 0.500
Cu: 0.500 0.500 0.000
Ru: 0.500 0.500 0.500

Excess energy over the best structure of this formula in the dataset (meV/atom): 0
Total magnetic moment (μB per atom): 0.41

Compound: RbCu2Ru
Source: Alexandria
Functional: PBE-GGA
Structure: optimized geometry

Cell: 5.113 5.113 16.617 Å, 90.00 90.00 90.00°
Element x y z (fractional)
Rb: 0.000 0.250 0.375
Rb: 0.000 0.750 0.625
Rb: 0.500 0.250 0.125
Rb: 0.500 0.750 0.875
Cu: 0.000 0.000 0.000
Cu: 0.000 0.500 0.000
Cu: 0.250 0.250 0.750
Cu: 0.250 0.750 0.250
Cu: 0.500 0.000 0.500
Cu: 0.500 0.500 0.500
Cu: 0.750 0.250 0.750
Cu: 0.750 0.750 0.250
Ru: 0.000 0.250 0.875
Ru: 0.000 0.750 0.125
Ru: 0.500 0.250 0.625
Ru: 0.500 0.750 0.375

Excess energy over the best structure of this formula in the dataset (meV/atom): 0
Total magnetic moment (μB per atom): 0.54

Compound: RbCuRuS2
Source: Alexandria
Functional: PBE-GGA
Structure: optimized geometry

Cell: 4.704 4.704 5.184 Å, 90.00 90.00 90.00°
Element x y z (fractional)
Rb: 0.000 0.000 0.000
Cu: 0.000 0.000 0.500
Ru: 0.500 0.500 0.000
S: 0.000 0.500 0.500
S: 0.500 0.000 0.500

Total magnetic moment (μB per atom): 0.58

Compound: RbVCu2Ru
Source: Alexandria
Functional: PBE-GGA
Structure: optimized geometry

Cell: 4.743 4.743 4.815 Å, 90.00 90.00 90.00°
Element x y z (fractional)
Rb: 0.000 0.000 0.000
V: 0.000 0.000 0.500
Cu: 0.000 0.500 0.000
Cu: 0.500 0.000 0.000
Ru: 0.500 0.500 0.500

Total magnetic moment (μB per atom): 0.86

Compound: RbCuRuW2
Source: Alexandria
Functional: PBE-GGA
Structure: optimized geometry

Cell: 4.717 4.717 4.517 Å, 90.00 90.00 90.00°
Element x y z (fractional)
Rb: 0.000 0.000 0.000
Cu: 0.000 0.000 0.500
Ru: 0.500 0.500 0.500
W: 0.000 0.500 0.000
W: 0.500 0.000 0.000

Total magnetic moment (μB per atom): 0.37

Compound: RbZnCu2Ru
Source: Alexandria
Functional: PBE-GGA
Structure: optimized geometry

Cell: 5.019 5.019 4.991 Å, 90.00 90.00 90.00°
Element x y z (fractional)
Rb: 0.000 0.000 0.000
Zn: 0.500 0.500 0.500
Cu: 0.000 0.500 0.000
Cu: 0.500 0.000 0.000
Ru: 0.000 0.000 0.500

Total magnetic moment (μB per atom): 0.21

Compound: RbCuS
Source: Alexandria
Functional: PBE-GGA
Structure: optimized geometry

Cell: 3.528 3.528 11.592 Å, 90.00 90.00 90.00°
Element x y z (fractional)
Rb: 0.000 0.000 0.000
Rb: 0.500 0.500 0.500
Cu: 0.000 0.000 0.257
Cu: 0.500 0.500 0.757
S: 0.000 0.000 0.730
S: 0.500 0.500 0.230

Total magnetic moment (μB per atom): 0.00

Compound: RbCu3S
Source: Alexandria
Functional: PBE-GGA
Structure: optimized geometry

Cell: 4.754 4.754 4.754 Å, 90.00 90.00 90.00°
Element x y z (fractional)
Rb: 0.000 0.000 0.000
Cu: 0.000 0.500 0.500
Cu: 0.500 0.000 0.500
Cu: 0.500 0.500 0.000
S: 0.500 0.500 0.500

Excess energy over the best structure of this formula in the dataset (meV/atom): 0
Total magnetic moment (μB per atom): 0.00

Compound: RbCuS
Source: Alexandria
Functional: PBE-GGA
Structure: optimized geometry

Cell: 6.387 7.794 7.785 Å, 90.00 127.48 90.00°
Element x y z (fractional)
Rb: 0.123 0.000 0.312
Rb: 0.123 0.500 0.812
Rb: 0.877 0.000 0.688
Rb: 0.877 0.500 0.188
Cu: 0.500 0.146 0.145
Cu: 0.500 0.354 0.645
Cu: 0.500 0.646 0.355
Cu: 0.500 0.854 0.855
S: 0.499 0.653 0.654
S: 0.499 0.847 0.154
S: 0.501 0.153 0.846
S: 0.501 0.347 0.346

Total magnetic moment (μB per atom): 0.00

Compound: Rb2Cu2S3
Source: Alexandria
Functional: PBE-GGA
Structure: optimized geometry

Cell: 12.751 3.973 8.213 Å, 90.00 124.69 90.00°
Element x y z (fractional)
Rb: 0.067 0.000 0.348
Rb: 0.433 0.500 0.652
Rb: 0.567 0.500 0.348
Rb: 0.933 0.000 0.652
Cu: 0.201 0.500 0.075
Cu: 0.299 0.000 0.925
Cu: 0.701 0.000 0.075
Cu: 0.799 0.500 0.925
S: 0.000 0.500 0.000
S: 0.197 0.500 0.777
S: 0.303 0.000 0.223
S: 0.500 0.000 0.000
S: 0.697 0.000 0.777
S: 0.803 0.500 0.223

Total magnetic moment (μB per atom): 0.00

Compound: RbCuS
Source: Alexandria
Functional: PBE-GGA
Structure: optimized geometry

Cell: 4.021 4.021 5.138 Å, 90.00 90.00 120.00°
Element x y z (fractional)
Rb: 0.000 0.000 0.000
Cu: 0.333 0.667 0.499
S: 0.667 0.333 0.500

Total magnetic moment (μB per atom): 0.00

Compound: Rb3Cu8S6
Source: Alexandria
Functional: PBE-GGA
Structure: optimized geometry

Cell: 9.192 9.192 10.091 Å, 105.81 105.81 24.24°
Element x y z (fractional)
Rb: 0.000 0.000 0.000
Rb: 0.191 0.191 0.301
Rb: 0.809 0.809 0.699
Cu: 0.019 0.019 0.642
Cu: 0.203 0.203 0.940
Cu: 0.396 0.396 0.215
Cu: 0.412 0.412 0.474
Cu: 0.588 0.588 0.526
Cu: 0.604 0.604 0.785
Cu: 0.797 0.797 0.060
Cu: 0.981 0.981 0.358
S: 0.150 0.150 0.642
S: 0.341 0.341 0.986
S: 0.466 0.466 0.705
S: 0.534 0.534 0.295
S: 0.659 0.659 0.014
S: 0.850 0.850 0.358

Total magnetic moment (μB per atom): 0.00

Compound: RbCuS
Source: Alexandria
Functional: PBE-GGA
Structure: optimized geometry

Cell: 4.092 4.813 4.832 Å, 89.97 65.16 89.83°
Element x y z (fractional)
Rb: 0.000 0.000 0.000
Cu: 0.721 0.500 0.558
S: 0.292 0.500 0.415

Total magnetic moment (μB per atom): 0.00

Compound: RbCu3S
Source: Alexandria
Functional: PBE-GGA
Structure: optimized geometry

Cell: 5.183 5.183 5.183 Å, 90.00 90.00 90.00°
Element x y z (fractional)
Rb: 0.000 0.000 0.000
Cu: 0.000 0.000 0.500
Cu: 0.000 0.500 0.000
Cu: 0.500 0.000 0.000
S: 0.500 0.500 0.500

Excess energy over the best structure of this formula in the dataset (meV/atom): 1506
Total magnetic moment (μB per atom): 0.00

Number 1: energy -18.26 eV/f.u.. Number 2: energy -14.80 eV/f.u.. Number 3: energy -16.79 eV/f.u.. Number 4: energy -10.46 eV/f.u.. Number 5: energy -23.86 eV/f.u.. Number 6: energy -13.19 eV/f.u.. Number 7: energy -18.07 eV/f.u.. Number 8: energy -14.47 eV/f.u.. Number 9: energy -17.77 eV/f.u.. Number 10: energy -14.44 eV/f.u.. Number 11: energy -21.43 eV/f.u.. Number 12: energy -8.65 eV/f.u.. Number 13: energy -9.83 eV/f.u.. Number 14: energy -15.40 eV/f.u.. Number 15: energy -11.20 eV/f.u.. Number 16: energy -26.49 eV/f.u.. Number 17: energy -11.16 eV/f.u.. Number 18: energy -68.77 eV/f.u.. Number 19: energy -11.07 eV/f.u.. Number 20: energy -7.87 eV/f.u..